Entry 1:
## Y2CoOsC (GGA-PBE)

Data for a geometry-optimized Y2CoOsC structure.

a b c (Å): 4.932 4.932 3.853
angles (deg): 90.00 90.00 90.00
Space group P4/mmm (No. 123)
Unique sites:
Y 0.000 0.500 0.000 (multiplicity 2)
Co 0.000 0.000 0.500 (multiplicity 1)
Os 0.500 0.500 0.500 (multiplicity 1)
C 0.500 0.500 0.000 (multiplicity 1)

Results
E_form, eV/atom: -0.125
Magnetization, μB per formula unit: 1.130
V, Å³ per cell: 94
Total energy, eV per atom: -8.222



Entry 2:
## ThZnPdAu (GGA-PBE)

Data for a geometry-optimized ThZnPdAu structure.

a b c (Å): 4.5415 4.5415 14.1102
angles (deg): 90.00 90.00 120.00
Space group R3m (No. 160, hexagonal axes)
Unique sites:
Th 0.0000 0.0000 0.0000 (multiplicity 3)
Zn 0.0000 0.0000 0.4850 (multiplicity 3)
Pd 0.0000 0.0000 0.7810 (multiplicity 3)
Au 0.0000 0.0000 0.2195 (multiplicity 3)

Results
E_form, eV/atom: -0.647
Magnetization, μB per formula unit: 0.000
V, Å³ per cell: 252
Total energy, eV per atom: -4.938



Entry 3:
## Tm5Pu2Sn4 (GGA-PBE)

Data for a geometry-optimized Tm5Pu2Sn4 structure.

a b c (Å): 23.951 3.494 7.390
angles (deg): 90.00 90.25 90.00
Space group C2/m (No. 12)
Unique sites:
Tm 0.000 0.000 0.000 (multiplicity 2)
Tm 0.095 0.500 0.265 (multiplicity 4)
Tm 0.192 0.500 0.912 (multiplicity 4)
Pu 0.233 0.500 0.413 (multiplicity 4)
Sn 0.034 0.500 0.670 (multiplicity 4)
Sn 0.138 0.000 0.592 (multiplicity 4)

Results
E_form, eV/atom: -0.024
Magnetization, μB per formula unit: 0.000
V, Å³ per cell: 618
Total energy, eV per atom: -6.118



Entry 4:
## Hf2GeW (GGA-PBE)

Data for a geometry-optimized Hf2GeW structure.

a b c (Å): 2.9588 2.9588 30.8042
angles (deg): 90.00 90.00 120.00
Space group R-3m (No. 166, hexagonal axes)
Unique sites:
Hf 0.0000 0.0000 0.0889 (multiplicity 6)
Ge 0.0000 0.0000 0.5000 (multiplicity 3)
W 0.0000 0.0000 0.0000 (multiplicity 3)

Results
E_form, eV/atom: 0.337
Magnetization, μB per formula unit: 0.000
V, Å³ per cell: 234
Total energy, eV per atom: -9.032



Entry 5:
## YHoAgSn (GGA-PBE)

Data for a geometry-optimized YHoAgSn structure.

a b c (Å): 7.388 7.388 7.388
angles (deg): 90.00 90.00 90.00
Space group F-43m (No. 216)
Unique sites:
Y 0.000 0.000 0.000 (multiplicity 4)
Ho 0.000 0.000 0.500 (multiplicity 4)
Ag 0.250 0.250 0.250 (multiplicity 4)
Sn 0.250 0.250 0.750 (multiplicity 4)

Results
E_form, eV/atom: -0.519
Magnetization, μB per formula unit: 0.356
V, Å³ per cell: 403
Total energy, eV per atom: -4.993



Entry 6:
## DyHo4Ag (GGA-PBE)

Data for a geometry-optimized DyHo4Ag structure.

a b c (Å): 3.527 3.527 13.882
angles (deg): 90.00 90.00 90.00
Space group P4/mmm (No. 123)
Unique sites:
Dy 0.000 0.000 0.000 (multiplicity 1)
Ho 0.000 0.000 0.362 (multiplicity 2)
Ho 0.500 0.500 0.180 (multiplicity 2)
Ag 0.500 0.500 0.500 (multiplicity 1)

Results
E_form, eV/atom: -0.080
Magnetization, μB per formula unit: 0.002
V, Å³ per cell: 173
Total energy, eV per atom: -4.374



Entry 7:
## Tl2FeOs (GGA-PBE)

Data for a geometry-optimized Tl2FeOs structure.

a b c (Å): 9.132 3.190 5.234
angles (deg): 90.00 101.41 90.00
Space group C2/m (No. 12)
Unique sites:
Tl 0.249 0.000 0.249 (multiplicity 4)
Fe 0.000 0.000 0.500 (multiplicity 2)
Os 0.000 0.500 0.000 (multiplicity 2)

Results
E_form, eV/atom: 0.957
Magnetization, μB per formula unit: 3.296
V, Å³ per cell: 149
Total energy, eV per atom: -5.149